Entry 1:
DFT (PBE) results for ReIr2Cl after structural relaxation.

Total magnetization   0.00 Bohr magnetons per cell
Formation energy without anion corrections   1406 meV/atom
Calculated volume   15.3 Å³/atom
Energy above the lowest structure with this stoichiometry   1114.2 meV/atom
D(E_F)   6.40 states/eV/f.u.
Space-group type   P4/mmm (123)

Cell: 4.134 3.851 3.851 Å, 90.00 90.00 90.00°
Element x y z (fractional)
Ir 0.000 0.000 0.000
Ir 0.000 0.500 0.500
Re 0.500 0.500 0.000
Cl 0.500 0.000 0.500

---

Entry 2:
DFT (PBE) results for SrGa2NiIr after structural relaxation.

ΔH_f (0 K)   -201 meV per atom
Total magnetization   0.00 Bohr magnetons per cell
Calculated volume   21.9 Å³/atom
D(E_F)   2.88 states/eV/f.u.
Space-group type   P3m1 (156)

Cell: 4.207 4.207 7.134 Å, 90.00 90.00 120.00°
Element x y z (fractional)
Ir 0.333 0.667 0.690
Sr 0.000 0.000 0.000
Ni 0.667 0.333 0.311
Ga 0.667 0.333 0.657
Ga 0.333 0.667 0.342

---

Entry 3:
DFT (PBE) results for YMg2Se after structural relaxation.

Total magnetization   0.00 Bohr magnetons per cell
Formation energy without anion corrections   -629 meV/atom
Calculated volume   24.0 Å³/atom
D(E_F)   1.50 states/eV/f.u.
Space-group type   I4/mmm (139)

Cell: 6.400 6.400 6.400 Å, 142.61 142.61 53.90°
Element x y z (fractional)
Y 0.750 0.250 0.500
Mg 0.000 0.000 0.000
Mg 0.500 0.500 0.000
Se 0.250 0.750 0.500

---

Entry 4:
DFT (PBE) results for Tb3Nd12Y5 after structural relaxation.

ΔH_f (0 K)   1004 meV per atom
Total magnetization   0.02 Bohr magnetons per cell
Calculated volume   42.9 Å³/atom
D(E_F)   42.40 states/eV/f.u.
Space-group type   Ia-3d (230)

Cell: 16.454 16.454 16.454 Å, 109.47 109.47 109.47°
Element x y z (fractional)
Nd 0.845 0.906 0.270
Nd 0.094 0.938 0.364
Nd 0.062 0.155 0.426
Nd 0.938 0.845 0.574
Nd 0.730 0.136 0.074
Nd 0.926 0.562 0.155
Nd 0.230 0.655 0.094
Nd 0.074 0.438 0.845
Nd 0.364 0.438 0.094
Nd 0.426 0.770 0.864
Nd 0.062 0.906 0.136
Nd 0.938 0.094 0.864
Nd 0.155 0.062 0.926
Nd 0.594 0.730 0.655
Nd 0.730 0.594 0.155
Nd 0.655 0.230 0.594
Nd 0.136 0.730 0.574
Nd 0.136 0.406 0.062
Nd 0.636 0.074 0.230
Nd 0.074 0.636 0.730
Nd 0.770 0.345 0.906
Nd 0.926 0.364 0.270
Nd 0.770 0.426 0.364
Nd 0.345 0.770 0.406
Nd 0.636 0.562 0.906
Nd 0.562 0.636 0.406
Nd 0.864 0.594 0.938
Nd 0.438 0.074 0.345
Nd 0.155 0.094 0.730
Nd 0.270 0.864 0.926
Nd 0.438 0.364 0.594
Nd 0.906 0.845 0.770
Nd 0.574 0.345 0.938
Nd 0.906 0.062 0.636
Nd 0.364 0.926 0.770
Nd 0.562 0.926 0.655
Nd 0.655 0.426 0.562
Nd 0.845 0.938 0.074
Nd 0.345 0.574 0.438
Nd 0.864 0.270 0.426
Nd 0.270 0.406 0.845
Nd 0.574 0.230 0.136
Nd 0.406 0.136 0.562
Nd 0.094 0.155 0.230
Nd 0.406 0.270 0.345
Nd 0.426 0.655 0.062
Nd 0.230 0.574 0.636
Nd 0.594 0.864 0.438
Tb 0.625 0.375 0.750
Tb 0.750 0.375 0.125
Tb 0.875 0.125 0.250
Tb 0.625 0.250 0.375
Tb 0.125 0.250 0.875
Tb 0.375 0.625 0.250
Tb 0.250 0.625 0.875
Tb 0.125 0.875 0.750
Tb 0.250 0.125 0.375
Tb 0.875 0.750 0.125
Tb 0.750 0.875 0.625
Tb 0.375 0.750 0.625
Y 0.500 0.000 0.500
Y 0.250 0.875 0.125
Y 0.000 0.000 0.000
Y 0.750 0.625 0.375
Y 0.625 0.750 0.875
Y 0.000 0.500 0.000
Y 0.500 0.000 0.000
Y 0.250 0.375 0.625
Y 0.375 0.125 0.750
Y 0.125 0.375 0.250
Y 0.875 0.625 0.750
Y 0.750 0.125 0.875
Y 0.000 0.500 0.500
Y 0.875 0.250 0.625
Y 0.125 0.750 0.375
Y 0.625 0.875 0.250
Y 0.375 0.250 0.125
Y 0.500 0.500 0.500
Y 0.000 0.000 0.500
Y 0.500 0.500 0.000

---

Entry 5:
DFT (PBE) results for Cd2GaPb after structural relaxation.

ΔH_f (0 K)   94 meV per atom
Total magnetization   0.00 Bohr magnetons per cell
Calculated volume   25.0 Å³/atom
Energy above the lowest structure with this stoichiometry   30.1 meV/atom
D(E_F)   2.60 states/eV/f.u.
Space-group type   Fm-3m (225)

Cell: 5.209 5.209 5.209 Å, 60.00 60.00 60.00°
Element x y z (fractional)
Cd 0.250 0.250 0.250
Cd 0.750 0.750 0.750
Ga 0.000 0.000 0.000
Pb 0.500 0.500 0.500

---

Entry 6:
DFT (PBE) results for HfGaAu after structural relaxation.

ΔH_f (0 K)   -444 meV per atom
Total magnetization   0.00 Bohr magnetons per cell
Calculated volume   18.1 Å³/atom
D(E_F)   2.11 states/eV/f.u.
Space-group type   Imma (74)

Cell: 5.432 5.432 7.775 Å, 44.33 135.67 113.26°
Element x y z (fractional)
Hf 0.773 0.553 0.194
Hf 0.273 0.053 0.194
Ga 0.522 0.303 0.519
Ga 0.023 0.803 0.869
Au 0.523 0.303 0.851
Au 0.023 0.803 0.537

---

Entry 7:
DFT (PBE) results for PuCuAgO6 after structural relaxation.

Total magnetization   4.57 Bohr magnetons per cell
Formation energy without anion corrections   -1145 meV/atom
Calculated volume   12.8 Å³/atom
D(E_F)   9.28 states/eV/f.u.
Space-group type   P-31c (163)

Cell: 5.243 5.243 9.647 Å, 90.00 90.00 120.00°
Element x y z (fractional)
O 0.646 0.000 0.363
O 0.646 0.646 0.137
O 0.354 0.354 0.863
O 0.354 0.354 0.363
O 0.646 0.646 0.637
O 0.000 0.646 0.863
O 0.000 0.646 0.363
O 0.000 0.354 0.137
O 0.354 0.000 0.137
O 0.000 0.354 0.637
O 0.646 0.000 0.863
O 0.354 0.000 0.637
Ag 0.000 0.000 0.000
Ag 0.000 0.000 0.500
Pu 0.333 0.667 0.750
Pu 0.667 0.333 0.250
Cu 0.667 0.333 0.750
Cu 0.333 0.667 0.250

---

Entry 8:
DFT (PBE) results for MoOs2Rh after structural relaxation.

ΔH_f (0 K)   140 meV per atom
Total magnetization   0.00 Bohr magnetons per cell
Calculated volume   15.1 Å³/atom
Energy above the lowest structure with this stoichiometry   189.0 meV/atom
D(E_F)   4.61 states/eV/f.u.
Space-group type   C2/c (15)

Cell: 2.772 6.242 9.051 Å, 97.80 52.32 102.83°
Element x y z (fractional)
Os 0.772 0.785 0.560
Os 0.013 0.785 0.940
Os 0.228 0.215 0.440
Os 0.987 0.215 0.060
Rh 0.743 0.485 0.750
Rh 0.257 0.515 0.250
Mo 0.952 0.905 0.250
Mo 0.048 0.095 0.750